# meta-GGA SCAN NiRh5, PBEsol geometry
data_NiRh5
_symmetry_space_group_name_H-M 'P -3 m 1'
_symmetry_Int_Tables_number 164
_symmetry_space_group_name_Hall '-P 3 2"'
_cell_length_a 3.3286
_cell_length_b 3.3286
_cell_length_c 9.3021
_cell_angle_alpha 90.00
_cell_angle_beta 90.00
_cell_angle_gamma 120.00
loop_
_atom_site_label
_atom_site_type_symbol
_atom_site_fract_x
_atom_site_fract_y
_atom_site_fract_z
_atom_site_occupancy
Ni1 Ni 0.0000 0.0000 0.0000 1
Rh1 Rh 0.0000 0.0000 0.5000 1
Rh2 Rh 0.3333 0.6667 0.1539 1
Rh3 Rh 0.3333 0.6667 0.6680 1
# energy of formation from the pure elements	0.836	eV per atom
# total magnetic moment	0.18	Bohr magnetons per cell
# final energy	-180.01	eV for the cell shown